*P*
VASP calculation (PBE-GGA) on an optimized crystal structure of CsYAs2Se.

The structure belongs to space group P4/mmm (No. 123); the cell edges are 5.595, 5.595 and 5.387 Å and the angles 90.00°, 90.00° and 90.00°. The asymmetric unit holds Cs at (0.000, 0.000, 0.000), Y at (0.500, 0.500, 0.500), As at (0.000, 0.500, 0.000) and Se at (0.000, 0.000, 0.500).

As for the calculated volume: 33.73 Å³ per atom. For the magnetic moment, the calculation gives 0.0000 μB/atom.

=====

*Q*
VASP calculation (PBE-GGA) on an optimized crystal structure of CsYAs2Se.

The structure belongs to space group P4/mmm (No. 123); the cell edges are 5.598, 5.598 and 5.612 Å and the angles 90.00°, 90.00° and 90.00°. The asymmetric unit holds Cs at (0.000, 0.000, 0.000), Y at (0.500, 0.500, 0.500), As at (0.000, 0.500, 0.500) and Se at (0.500, 0.500, 0.000).

As for the calculated volume: 35.17 Å³ per atom. For the magnetic moment, the calculation gives 0.2230 μB/atom.

=====

On energetic grounds, *Q* is preferred over the next structure by 135.5 kJ/mol of atoms.

=====

*P*
VASP calculation (PBE-GGA) on an optimized crystal structure of CsZnAsSe2.

The structure belongs to space group P4/mmm (No. 123); the cell edges are 5.310, 5.310 and 4.941 Å and the angles 90.00°, 90.00° and 90.00°. The asymmetric unit holds Cs at (0.000, 0.000, 0.000), Zn at (0.500, 0.500, 0.500), As at (0.500, 0.500, 0.000) and Se at (0.000, 0.500, 0.500).

As for the calculated volume: 27.86 Å³ per atom. For the magnetic moment, the calculation gives 0.0000 μB/atom.

=====

*Q*
VASP calculation (PBE-GGA) on an optimized crystal structure of CsZnAsSe2.

The structure belongs to space group P4/mmm (No. 123); the cell edges are 6.182, 6.182 and 6.918 Å and the angles 90.00°, 90.00° and 90.00°. The asymmetric unit holds Cs at (0.000, 0.000, 0.000), Zn at (0.500, 0.500, 0.500), As at (0.000, 0.000, 0.500) and Se at (0.000, 0.500, 0.000).

As for the calculated volume: 52.89 Å³ per atom. For the magnetic moment, the calculation gives 1.0862 μB/atom.

=====

On energetic grounds, *P* is preferred over the next structure by 121.4 kJ/mol of atoms.

=====

*P*
VASP calculation (PBE-GGA) on an optimized crystal structure of CsZrAs2Se.

The structure belongs to space group P4/mmm (No. 123); the cell edges are 5.330, 5.330 and 5.394 Å and the angles 90.00°, 90.00° and 90.00°. The asymmetric unit holds Cs at (0.000, 0.000, 0.000), Zr at (0.500, 0.500, 0.500), As at (0.000, 0.500, 0.500) and Se at (0.500, 0.500, 0.000).

As for the calculated volume: 30.65 Å³ per atom. For the magnetic moment, the calculation gives 0.0000 μB/atom.

=====

*Q*
VASP calculation (PBE-GGA) on an optimized crystal structure of CsZrAs2Se.

The structure belongs to space group P4/mmm (No. 123); the cell edges are 5.536, 5.536 and 5.306 Å and the angles 90.00°, 90.00° and 90.00°. The asymmetric unit holds Cs at (0.000, 0.000, 0.000), Zr at (0.500, 0.500, 0.500), As at (0.000, 0.500, 0.000) and Se at (0.000, 0.000, 0.500).

As for the calculated volume: 32.53 Å³ per atom. For the magnetic moment, the calculation gives 0.0000 μB/atom.

=====

On energetic grounds, *P* is preferred over the next structure by 201.7 kJ/mol of atoms.

=====

*P*
VASP calculation (PBE-GGA) on an optimized crystal structure of CsSi3As.

The structure belongs to space group Pm-3m (No. 221); the cell edges are 5.537, 5.537 and 5.537 Å and the angles 90.00°, 90.00° and 90.00°. The asymmetric unit holds Cs at (0.000, 0.000, 0.000), Si at (0.000, 0.000, 0.500) and As at (0.500, 0.500, 0.500).

As for the calculated volume: 33.96 Å³ per atom. For the magnetic moment, the calculation gives 0.0000 μB/atom.

=====

*Q*
VASP calculation (PBE-GGA) on an optimized crystal structure of CsSi3As.

The structure belongs to space group Pm-3m (No. 221); the cell edges are 5.142, 5.142 and 5.142 Å and the angles 90.00°, 90.00° and 90.00°. The asymmetric unit holds Cs at (0.000, 0.000, 0.000), Si at (0.000, 0.500, 0.500) and As at (0.500, 0.500, 0.500).

As for the calculated volume: 27.19 Å³ per atom. For the magnetic moment, the calculation gives 0.0000 μB/atom.

=====

On energetic grounds, *Q* is preferred over the next structure by 151.8 kJ/mol of atoms.

=====

*P*
VASP calculation (PBE-GGA) on an optimized crystal structure of Cs2SiAs2.

The structure belongs to space group Ibam (No. 72); the cell edges are 7.791, 14.698 and 6.518 Å and the angles 90.00°, 90.00° and 90.00°. The asymmetric unit holds Cs at (0.172, 0.144, 0.000), Si at (0.000, 0.500, 0.250) and As at (0.151, 0.408, 0.000).

As for the calculated volume: 37.32 Å³ per atom. For the magnetic moment, the calculation gives 0.0000 μB/atom.

=====

*Q*
VASP calculation (PBE-GGA) on an optimized crystal structure of Cs2SiAs2.

The structure belongs to space group Pbam (No. 55); the cell edges are 8.177, 11.778 and 3.616 Å and the angles 90.00°, 90.00° and 90.00°. The asymmetric unit holds Cs at (0.070, 0.172, 0.000), Si at (0.000, 0.500, 0.000) and As at (0.190, 0.444, 0.500).

As for the calculated volume: 34.83 Å³ per atom. For the magnetic moment, the calculation gives 0.0070 μB/atom.

=====

On energetic grounds, *P* is preferred over the next structure by 30.0 kJ/mol of atoms.

=====

*P*
VASP calculation (PBE-GGA) on an optimized crystal structure of Cs2SnAs2.

The structure belongs to space group P4/mbm (No. 127); the cell edges are 7.641, 7.641 and 6.045 Å and the angles 90.00°, 90.00° and 90.00°. The asymmetric unit holds Cs at (0.184, 0.316, 0.000), Sn at (0.000, 0.000, 0.500) and As at (0.113, 0.613, 0.500).

As for the calculated volume: 35.29 Å³ per atom. For the magnetic moment, the calculation gives 0.0000 μB/atom.

=====

*Q*
VASP calculation (PBE-GGA) on an optimized crystal structure of Cs2SnAs2.

The structure belongs to space group Ibam (No. 72); the cell edges are 7.890, 14.903 and 7.076 Å and the angles 90.00°, 90.00° and 90.00°. The asymmetric unit holds Cs at (0.164, 0.145, 0.000), Sn at (0.000, 0.500, 0.250) and As at (0.173, 0.401, 0.000).

As for the calculated volume: 41.60 Å³ per atom. For the magnetic moment, the calculation gives 0.0000 μB/atom.

=====

On energetic grounds, *Q* is preferred over the next structure by 19.4 kJ/mol of atoms.

=====

*P*
VASP calculation (PBE-GGA) on an optimized crystal structure of CsSn3As3.

The structure belongs to space group R-3 (No. 148, hexagonal axes); the cell edges are 8.5431, 8.5431 and 24.8690 Å and the angles 90.00°, 90.00° and 120.00°. The asymmetric unit holds Cs at (0.0000, 0.0000, 0.1666), Sn at (0.0022, 0.3295, 0.6228) and As at (0.0008, 0.3322, 0.7324).

As for the calculated volume: 37.43 Å³ per atom. For the magnetic moment, the calculation gives 0.0000 μB/atom.

=====

*Q*
VASP calculation (PBE-GGA) on an optimized crystal structure of CsSn3As3.

The structure belongs to space group R-3 (No. 148, hexagonal axes); the cell edges are 6.8435, 6.8435 and 34.9174 Å and the angles 90.00°, 90.00° and 120.00°. The asymmetric unit holds Cs at (0.0000, 0.0000, 0.1665), Sn at (0.0002, 0.3364, 0.6251) and As at (0.0002, 0.3284, 0.4173).

As for the calculated volume: 33.72 Å³ per atom. For the magnetic moment, the calculation gives 0.0000 μB/atom.

=====

On energetic grounds, *P* is preferred over the next structure by 4.3 kJ/mol of atoms.

=====

*P*
VASP calculation (PBE-GGA) on an optimized crystal structure of CsSnAs3.

The structure belongs to space group Pm-3m (No. 221); the cell edges are 5.665, 5.665 and 5.665 Å and the angles 90.00°, 90.00° and 90.00°. The asymmetric unit holds Cs at (0.000, 0.000, 0.000), Sn at (0.500, 0.500, 0.500) and As at (0.000, 0.000, 0.500).

As for the calculated volume: 36.35 Å³ per atom. For the magnetic moment, the calculation gives 0.0000 μB/atom.

=====

*Q*
VASP calculation (PBE-GGA) on an optimized crystal structure of CsSnAs3.

The structure belongs to space group Pm-3m (No. 221); the cell edges are 5.466, 5.466 and 5.466 Å and the angles 90.00°, 90.00° and 90.00°. The asymmetric unit holds Cs at (0.000, 0.000, 0.000), Sn at (0.500, 0.500, 0.500) and As at (0.000, 0.500, 0.500).

As for the calculated volume: 32.67 Å³ per atom. For the magnetic moment, the calculation gives 0.0000 μB/atom.

=====

On energetic grounds, *Q* is preferred over the next structure by 113.2 kJ/mol of atoms.

=====

*P*
VASP calculation (PBE-GGA) on an optimized crystal structure of Cs2Sn2As.

The structure belongs to space group P4/mbm (No. 127); the cell edges are 7.706, 7.706 and 6.422 Å and the angles 90.00°, 90.00° and 90.00°. The asymmetric unit holds Cs at (0.186, 0.314, 0.000), Sn at (0.137, 0.637, 0.500) and As at (0.000, 0.000, 0.500).

As for the calculated volume: 38.14 Å³ per atom. For the magnetic moment, the calculation gives 0.0000 μB/atom.

=====

*Q*
VASP calculation (PBE-GGA) on an optimized crystal structure of Cs2Sn2As.

The structure belongs to space group C2/m (No. 12); the cell edges are 8.784, 13.007 and 9.259 Å and the angles 90.00°, 115.52° and 90.00°. The asymmetric unit holds Cs at (0.231, 0.167, 0.270), Sn at (0.130, 0.500, 0.302), Sn at (0.222, 0.000, 0.915) and As at (0.000, 0.367, 0.000).

As for the calculated volume: 47.74 Å³ per atom. For the magnetic moment, the calculation gives 0.0000 μB/atom.

=====

On energetic grounds, *Q* is preferred over the next structure by 7.5 kJ/mol of atoms.

=====

*P*
VASP calculation (PBE-GGA) on an optimized crystal structure of CsTlSnAs2.

The structure belongs to space group P4/mmm (No. 123); the cell edges are 5.528, 5.528 and 5.909 Å and the angles 90.00°, 90.00° and 90.00°. The asymmetric unit holds Cs at (0.000, 0.000, 0.000), Tl at (0.500, 0.500, 0.000), Sn at (0.500, 0.500, 0.500) and As at (0.000, 0.500, 0.500).

As for the calculated volume: 36.11 Å³ per atom. For the magnetic moment, the calculation gives 0.0000 μB/atom.

=====

*Q*
VASP calculation (PBE-GGA) on an optimized crystal structure of CsTlSnAs2.

The structure belongs to space group C2/m (No. 12); the cell edges are 18.063, 4.356 and 10.328 Å and the angles 90.00°, 106.13° and 90.00°. The asymmetric unit holds Cs at (0.170, 0.000, 0.164), Tl at (0.188, 0.000, 0.541), Sn at (0.067, 0.500, 0.661), As at (0.086, 0.500, 0.403) and As at (0.138, 0.000, 0.802).

As for the calculated volume: 39.03 Å³ per atom. For the magnetic moment, the calculation gives 0.0000 μB/atom.

=====

On energetic grounds, *Q* is preferred over the next structure by 35.8 kJ/mol of atoms.

=====

*P*
VASP calculation (PBE-GGA) on an optimized crystal structure of CsSr3As.

The structure belongs to space group Pm-3m (No. 221); the cell edges are 6.046, 6.046 and 6.046 Å and the angles 90.00°, 90.00° and 90.00°. The asymmetric unit holds Cs at (0.000, 0.000, 0.000), Sr at (0.000, 0.000, 0.500) and As at (0.500, 0.500, 0.500).

As for the calculated volume: 44.20 Å³ per atom. For the magnetic moment, the calculation gives 0.2800 μB/atom.

=====

*Q*
VASP calculation (PBE-GGA) on an optimized crystal structure of CsSr3As.

The structure belongs to space group Pm-3m (No. 221); the cell edges are 6.324, 6.324 and 6.324 Å and the angles 90.00°, 90.00° and 90.00°. The asymmetric unit holds Cs at (0.000, 0.000, 0.000), Sr at (0.000, 0.500, 0.500) and As at (0.500, 0.500, 0.500).

As for the calculated volume: 50.59 Å³ per atom. For the magnetic moment, the calculation gives 0.0000 μB/atom.

=====

On energetic grounds, *Q* is preferred over the next structure by 137.6 kJ/mol of atoms.

=====

*P*
VASP calculation (PBE-GGA) on an optimized crystal structure of CsTaAs3.

The structure belongs to space group Pm-3m (No. 221); the cell edges are 5.146, 5.146 and 5.146 Å and the angles 90.00°, 90.00° and 90.00°. The asymmetric unit holds Cs at (0.000, 0.000, 0.000), Ta at (0.500, 0.500, 0.500) and As at (0.000, 0.500, 0.500).

As for the calculated volume: 27.25 Å³ per atom. For the magnetic moment, the calculation gives 0.0022 μB/atom.

=====

*Q*
VASP calculation (PBE-GGA) on an optimized crystal structure of CsTaAs3.

The structure belongs to space group Pm-3m (No. 221); the cell edges are 5.445, 5.445 and 5.445 Å and the angles 90.00°, 90.00° and 90.00°. The asymmetric unit holds Cs at (0.000, 0.000, 0.000), Ta at (0.500, 0.500, 0.500) and As at (0.000, 0.000, 0.500).

As for the calculated volume: 32.28 Å³ per atom. For the magnetic moment, the calculation gives 0.3292 μB/atom.

=====

On energetic grounds, *P* is preferred over the next structure by 246.2 kJ/mol of atoms.